Density functional theory data (PBE) for a geometry-optimized Ca3Zn6Ag5 structure.

Cell: 8.517 8.517 8.517 Å, 150.52 107.93 79.73°
Element x y z (fractional)
Ca  0.000  0.000  0.000
Ca  0.309  0.309  0.000
Ca  0.691  0.691  0.000
Zn  0.161  0.877  0.284
Zn  0.293  0.500  0.793
Zn  0.406  0.123  0.284
Zn  0.594  0.877  0.716
Zn  0.707  0.500  0.207
Zn  0.839  0.123  0.716
Ag  0.030  0.673  0.356
Ag  0.317  0.673  0.644
Ag  0.500  0.000  0.500
Ag  0.683  0.327  0.356
Ag  0.970  0.327  0.644

## Properties
The energy of formation from the pure elements comes out at -233 meV per atom. The total energy is -2.23 eV/atom. The value obtained for the volume is 283.9 Å³/cell.